Version a
{"formula": "IrPd2I", "functional": "PBE", "state": "relaxed", "space_group": "I-42d", "total_magnetization_mub_per_fu": 0.00, "rho_g_cm3": 11.8, "lattice": [[-3.719, 3.719, 2.708], [3.719, -3.719, 2.708], [3.719, 3.719, -2.708]], "species": ["Ir", "Ir", "Pd", "Pd", "Pd", "Pd", "I", "I"], "fractional_positions": [[0.000, 0.000, 0.000], [0.750, 0.250, 0.500], [0.119, 0.625, 0.994], [0.375, 0.369, 0.494], [0.631, 0.125, 0.006], [0.875, 0.881, 0.506], [0.250, 0.750, 0.500], [0.500, 0.500, 0.000]]}

---

Version b
{"formula": "IrPd2I", "functional": "PBE", "state": "relaxed", "space_group": "Fm-3m", "total_magnetization_mub_per_fu": 0.00, "rho_g_cm3": 12.5, "lattice": [[0.000, 3.278, 3.278], [3.278, 0.000, 3.278], [3.278, 3.278, 0.000]], "species": ["Ir", "Pd", "Pd", "I"], "fractional_positions": [[0.000, 0.000, 0.000], [0.250, 0.250, 0.250], [0.750, 0.750, 0.750], [0.500, 0.500, 0.500]]}

---

Question: of the structures shown, which is the most stable? Reply: version a.